Record 1
## PrScHg (PBE-GGA)

Data for crystalline PrScHg at its relaxed geometry.

Unit cell a=3.875 b=4.991 c=4.991 alpha=120.00 beta=90.00 gamma=90.00
Atoms (fractional coordinates):
Hg: 0.167 0.000 0.000
Sc: 0.166 0.333 0.667
Pr: 0.667 0.667 0.333

Summary:
Energy = -12.1 eV per cell
SG = P-6m2 (187)

=====

Record 2
## Pr2ScHg (PBE-GGA)

Data for crystalline Pr2ScHg at its relaxed geometry.

Unit cell a=3.637 b=3.637 c=10.851 alpha=80.35 beta=80.35 gamma=60.00
Atoms (fractional coordinates):
Pr: 0.081 0.081 0.756
Sc: 0.500 0.500 0.501
Pr: 0.252 0.252 0.244
Hg: 0.667 0.667 0.000

Summary:
Energy = -16.5 eV per cell
SG = R3m (160)

=====

Record 3
## PrScHg4 (PBE-GGA)

Data for crystalline PrScHg4 at its relaxed geometry.

Unit cell a=3.882 b=5.411 c=8.267 alpha=101.48 beta=76.42 gamma=68.98
Atoms (fractional coordinates):
Hg: 0.641 0.023 0.696
Hg: 0.186 0.481 0.147
Sc: 0.000 0.000 0.000
Pr: 0.500 0.500 0.500
Hg: 0.814 0.519 0.853
Hg: 0.359 0.977 0.304

Summary:
Energy = -14.1 eV per cell
SG = C2/m (12)

=====

The total moment results, record by record, are as follows: 0.0; 0.0; 0.2 Bohr magnetons per cell.
The calculated volume results, record by record, are as follows: 83.59; 121.92; 149.69 Å³ per cell.
The calculated formation energy results, record by record, are as follows: -0.22; -0.09; -0.29 eV per atom.